Ac2MnCrO5: relaxed, GGA+U.

Unit cell a=3.6658 b=7.3168 c=10.2306 alpha=90.00 beta=90.00 gamma=104.51
Closest atoms and distances in Å follow each position.
Fractional coordinates of all 18 atoms:
O 0.9337 0.8674 0.5496  2 Mn 2.03, 1 Cr 2.11
Mn 0.5456 0.0912 0.9702  3 O 2.03-2.09
O 0.3105 0.6210 0.3621  1 Mn 2.32, 2 Cr 2.41, 1 Ac 2.55
O 0.6402 0.2804 0.5046  1 Cr 2.08
Ac 0.8835 0.7670 0.1935  7 O 2.43-2.72
O 0.2863 0.5726 0.6572  2 Cr 2.36, 3 Ac 2.43-2.57
Cr 0.2129 0.4259 0.0112  2 O 2.08-2.11
Ac 0.8636 0.7271 0.7978  8 O 2.55-2.80
Ac 0.1165 0.2330 0.6935  7 O 2.43-2.72
O 0.4963 0.9925 0.7777  1 Mn 2.09
O 0.6895 0.3790 0.8621  1 Mn 2.32, 2 Cr 2.41, 1 Ac 2.55
O 0.5037 0.0075 0.2777  1 Mn 2.09
O 0.3598 0.7196 0.0046  1 Cr 2.08
Mn 0.4544 0.9088 0.4702  3 O 2.03-2.09
Cr 0.7871 0.5741 0.5112  2 O 2.08-2.11
O 0.7137 0.4274 0.1572  2 Cr 2.36, 3 Ac 2.43-2.57
O 0.0663 0.1326 0.0496  2 Mn 2.03, 1 Cr 2.11
Ac 0.1364 0.2729 0.2978  8 O 2.55-2.80

Calculated values
Space-group type   Cmc2_1 (36)
Calculated total energy   -7.8079 eV per atom